Ba2OsSe: relaxed, PBE.

Summary:
- N(E_F) (states/eV/atom) = 0.7448
- raw formation energy (eV/atom) = 0.175

```
data_Ba2OsSe
_symmetry_space_group_name_H-M 'I -4 2 d'
_symmetry_Int_Tables_number 122
_symmetry_space_group_name_Hall 'I -4 2bw'
_cell_length_a 8.452
_cell_length_b 8.452
_cell_length_c 8.314
_cell_angle_alpha 90.00
_cell_angle_beta 90.00
_cell_angle_gamma 90.00
loop_
_atom_site_label
_atom_site_fract_x
_atom_site_fract_y
_atom_site_fract_z
_atom_site_occupancy
Ba1 0.247 0.250 0.125 1
Os1 0.000 0.000 0.000 1
Se1 0.000 0.000 0.500 1
```